Record 1
YScCdRh PBE optimized geometry; calculated formation energy = -524 meV/atom; symmetry = No. 216
1.0
6.9684 0.0000 0.0000
0.0000 6.9684 0.0000
0.0000 0.0000 6.9684
Y Sc Cd Rh
4 4 4 4
Cartesian
0.0000 0.0000 0.0000
0.0000 3.4842 3.4842
3.4842 0.0000 3.4842
3.4842 3.4842 0.0000
0.0000 0.0000 3.4842
0.0000 3.4842 0.0000
3.4842 0.0000 0.0000
3.4842 3.4842 3.4842
1.7421 1.7421 1.7421
1.7421 5.2263 5.2263
5.2263 1.7421 5.2263
5.2263 5.2263 1.7421
1.7421 1.7421 5.2263
1.7421 5.2263 1.7421
5.2263 1.7421 1.7421
5.2263 5.2263 5.2263

***

Record 2
SrLa5F17 PBE optimized geometry; symmetry = No. 1; ΔE_f (raw) = -4128 meV per atom
1.0
7.1679 0.0000 0.0000
3.5801 6.3627 0.0000
0.0184 0.0117 7.3888
Sr La F
1 5 17
Cartesian
0.0000 0.0000 0.0000
1.3083 2.2098 3.4347
3.5307 2.1123 7.1284
4.8822 4.1677 3.4413
7.1279 4.3005 7.1331
8.3206 6.3634 3.4640
2.4741 4.2625 3.7721
1.4130 1.7767 1.0890
4.5893 4.1769 5.8290
2.3160 0.0097 3.3258
3.7479 2.3533 2.2144
5.0182 4.5922 1.0893
2.4828 0.0196 6.6126
3.5473 1.8957 4.7159
4.4777 0.0207 1.0026
7.0926 4.4818 4.7218
5.9032 2.2311 0.0312
6.0702 2.1065 3.7485
7.3504 4.0403 2.2205
8.9411 6.3472 5.7150
8.2335 2.2551 5.8324
10.5817 6.3533 2.5979
9.4863 4.1508 0.1007

***

Record 3
Tm2Ga3Cu PBE optimized geometry; calculated formation energy = -578 meV/atom; symmetry = No. 25
1.0
3.5319 0.0000 0.0000
0.0000 4.3505 0.0000
0.0000 0.0000 7.5233
Tm Ga Cu
2 3 1
Cartesian
0.0000 0.0000 0.0000
0.0000 2.1753 3.6914
1.7660 0.0000 4.9057
1.7660 2.1753 1.2796
1.7660 2.1753 6.2495
1.7660 0.0000 2.4428

***

Record 4
TaSiRu PBE optimized geometry; symmetry = No. 107; ΔE_f (raw) = -499 meV per atom
1.0
2.9392 0.0000 0.0000
0.0000 2.9392 0.0000
0.0000 0.0000 10.1274
Ta Si Ru
2 2 2
Cartesian
0.0000 0.0000 0.0000
1.4696 1.4696 5.0637
0.0000 0.0000 6.8955
1.4696 1.4696 1.8318
0.0000 0.0000 3.1332
1.4696 1.4696 8.1970

***

Record 5
RePOs2 PBE optimized geometry; calculated formation energy = 569 meV/atom; symmetry = No. 65
1.0
2.8433 0.0000 0.0000
0.0000 4.7882 0.0000
0.0000 0.0000 8.4686
Re P Os
2 2 4
Cartesian
0.0000 0.0000 0.0000
1.4216 2.3941 0.0000
0.0000 0.0000 4.2343
1.4216 2.3941 4.2343
0.0000 2.3941 2.3104
0.0000 2.3941 6.1582
1.4216 0.0000 2.3104
1.4216 0.0000 6.1582

***

Record 6
ScFeRe3 PBE optimized geometry; calculated formation energy = 1043 meV/atom; symmetry = No. 221
1.0
4.4575 0.0000 0.0000
0.0000 4.4575 0.0000
0.0000 0.0000 4.4575
Sc Fe Re
1 1 3
Cartesian
0.0000 0.0000 0.0000
2.2287 2.2287 2.2287
0.0000 2.2287 2.2287
2.2287 0.0000 2.2287
2.2287 2.2287 0.0000

***

Record 7
BaPuTl2Se4 PBE optimized geometry; symmetry = No. 10; ΔE_f (raw) = -1108 meV per atom
1.0
7.8499 0.0000 0.0000
0.0000 4.4308 0.0000
-2.5625 0.0000 7.5607
Ba Pu Tl Se
1 1 2 4
Cartesian
0.0000 0.0000 0.0000
3.9249 2.2154 0.0000
-1.2813 2.2154 3.7804
2.6437 0.0000 3.7804
1.6450 2.2154 1.6606
0.2821 0.0000 5.9885
5.0053 0.0000 1.5722
3.6424 2.2154 5.9001

***

Record 8
VGeN3 PBE optimized geometry; symmetry = No. 221; ΔE_f (raw) = 613 meV per atom
1.0
3.8446 0.0000 0.0000
0.0000 3.8446 0.0000
0.0000 0.0000 3.8446
V Ge N
1 1 3
Cartesian
0.0000 0.0000 0.0000
1.9223 1.9223 1.9223
0.0000 0.0000 1.9223
0.0000 1.9223 0.0000
1.9223 0.0000 0.0000

***

Record 9
Mg6ZrSb PBE optimized geometry; symmetry = No. 38; ΔE_f (raw) = -64 meV per atom
1.0
5.2782 0.0000 0.0000
0.0000 6.0814 0.0000
0.0000 0.0000 11.2596
Mg Zr Sb
12 2 2
Cartesian
0.0000 0.0000 0.0000
0.0000 0.0000 5.6266
0.0000 1.4758 2.7687
0.0000 1.5648 8.3985
0.0000 3.0407 11.2563
0.0000 3.0407 5.6298
0.0000 4.5165 8.3985
0.0000 4.6055 2.7687
2.6391 1.5107 6.6356
2.6391 1.5299 1.0058
2.6391 4.5514 1.0058
2.6391 4.5706 6.6356
2.6391 0.0000 3.8403
2.6391 3.0407 9.4701
2.6391 0.0000 9.4464
2.6391 3.0407 3.8167

***

Record 10
Tb3Pr2Er9 PBE optimized geometry; calculated formation energy = 116 meV/atom; symmetry = No. 1
1.0
6.2248 0.0000 0.0000
0.4776 8.6986 0.0000
2.0392 1.4747 8.3853
Tb Pr Er
3 2 9
Cartesian
0.0000 0.0000 0.0000
1.6876 3.3252 1.6976
4.5671 7.3931 4.5857
6.5138 4.3813 8.1252
6.3482 4.3612 4.6727
1.4608 7.0994 3.0818
2.1412 1.4004 4.7100
3.3233 4.4285 6.4351
4.3668 7.4134 8.0740
3.5518 8.7743 1.3945
5.2233 1.4790 6.4323
5.1545 5.6645 1.5746
5.3444 1.5552 3.0370
7.5323 7.3413 6.5108